--- w ---
Here is a geometry-optimized ZnSbCl2 structure from the Alexandria database. Energies are from GGA-PBE.

Geometry as extended XYZ:
```
4
Lattice="-5.930 -1.987 -2.238 -2.799 -6.018 0.254 3.201 4.649 3.500" Properties=species:S:1:pos:R:3 pbc="T T T"
Sb -4.364 -4.002 -0.992
Zn -3.546 -0.670 0.135
Cl 0.000 0.000 0.000
Cl -1.981 -2.685 1.381
```

Summary:
**Total moment**: 0.3 μB/cell
**DOS(E_F)**: 0.6677 states/eV/atom

=====

--- x ---
Here is a geometry-optimized ZnSbCl2 structure from the Alexandria database. Energies are from GGA-PBE.

Geometry as extended XYZ:
```
4
Lattice="-4.750 -2.325 -0.323 3.174 -3.115 2.880 -1.832 -1.051 4.273" Properties=species:S:1:pos:R:3 pbc="T T T"
Sb -3.291 -1.688 1.975
Zn 0.671 -2.083 3.577
Cl 0.000 0.000 0.000
Cl -0.788 -2.720 1.278
```

Summary:
**Total moment**: 0.0 μB/cell
**DOS(E_F)**: 0.5379 states/eV/atom

=====

Stability comparison, relative energies in kJ/mol of atoms: w 19.7; x 0.0

=====

--- w ---
Here is a geometry-optimized NiPS2Cl structure from the Alexandria database. Energies are from GGA-PBE.

Geometry as extended XYZ:
```
5
Lattice="4.297 0.000 0.000 0.000 4.297 0.000 0.000 0.000 4.955" Properties=species:S:1:pos:R:3 pbc="T T T"
Ni 0.000 0.000 0.000
S 0.000 2.148 0.000
S 2.148 0.000 0.000
P 0.000 0.000 2.477
Cl 2.148 2.148 2.477
```

Summary:
**Total moment**: 0.0 μB/cell
**DOS(E_F)**: 1.2803 states/eV/atom

=====

--- x ---
Here is a geometry-optimized NiPS2Cl structure from the Alexandria database. Energies are from GGA-PBE.

Geometry as extended XYZ:
```
5
Lattice="4.587 0.000 0.000 0.000 4.587 0.000 0.000 0.000 4.626" Properties=species:S:1:pos:R:3 pbc="T T T"
Ni 2.294 2.294 2.313
S 0.000 2.294 0.000
S 2.294 0.000 0.000
P 0.000 0.000 2.313
Cl 0.000 0.000 0.000
```

Summary:
**Total moment**: 2.0 μB/cell
**DOS(E_F)**: 1.4990 states/eV/atom

=====

Stability comparison, relative energies in kJ/mol of atoms: w 0.0; x 90.4